The following is a PBE-GGA calculation of a relaxed structure of BiTe2S, from Alexandria.

V   105.5 Å³/cell

abc: 5.3036 5.3036 5.3036
angles: 60.00 60.00 60.00
Last column: nearest neighbours and their distance in Å.
Fractional coordinates of all 4 atoms:
Te: 0.7500 0.7500 0.7500  4 Bi 3.25, 4 S 3.25
S: 0.0000 0.0000 0.0000  8 Te 3.25
Te: 0.2500 0.2500 0.2500  4 Bi 3.25, 4 S 3.25
Bi: 0.5000 0.5000 0.5000  8 Te 3.25

=====

The following is a PBE-GGA calculation of a relaxed structure of Bi2TeS, from Alexandria.

V   106.3 Å³/cell

abc: 5.3168 5.3168 5.3168
angles: 60.00 60.00 60.00
Last column: nearest neighbours and their distance in Å.
Fractional coordinates of all 4 atoms:
S: 0.0000 0.0000 0.0000  8 Bi 3.26
Te: 0.5000 0.5000 0.5000  8 Bi 3.26
Bi: 0.7500 0.7500 0.7500  4 S 3.26, 4 Te 3.26
Bi: 0.2500 0.2500 0.2500  4 S 3.26, 4 Te 3.26

=====

| no. | total moment (μB per formula unit) | E_form (uncorrected) (kcal/mol of atoms) |
| --- | --- | --- |
| 1 | 0.00 | 7.84 |
| 2 | 0.00 | 1.87 |